No. 1
! PrSbAsO, optimized geometry, DFT PBE-GGA; values from VASP
! E above lowest polymorph: 0.176 eV per atom
&SYSTEM
  ibrav = 0, nat = 8, ntyp = 4
/
ATOMIC_SPECIES
As 74.92 As.upf
Pr 140.91 Pr.upf
O 16.00 O.upf
Sb 121.76 Sb.upf
CELL_PARAMETERS angstrom
-2.4655 -2.7427 1.9952
5.0538 -5.9157 -1.8870
3.1583 1.0103 5.2916
ATOMIC_POSITIONS crystal
As 0.0000 0.6719 0.9396
Pr 0.0000 0.7029 0.4537
Pr 0.0000 0.2971 0.9537
O 0.5000 0.7537 0.3306
As 0.0000 0.3281 0.4396
Sb 0.5000 0.1191 0.5300
Sb 0.5000 0.8809 0.0300
O 0.5000 0.2463 0.8306

***

No. 2
! NaYHgTe3, optimized geometry, DFT PBE-GGA; values from VASP
! E above lowest polymorph: 0.000 eV per atom
&SYSTEM
  ibrav = 0, nat = 12, ntyp = 4
/
ATOMIC_SPECIES
Y 88.91 Y.upf
Te 127.60 Te.upf
Hg 200.59 Hg.upf
Na 22.99 Na.upf
CELL_PARAMETERS angstrom
4.3117 6.1525 1.9965
-5.0828 -3.0705 -5.0168
-8.8646 4.1153 6.4625
ATOMIC_POSITIONS crystal
Y 0.0000 0.0000 0.5000
Te 0.3578 0.6422 0.5534
Y 0.0000 0.0000 0.0000
Hg 0.5337 0.4663 0.2500
Te 0.6422 0.3578 0.4466
Na 0.2300 0.7700 0.2500
Te 0.0924 0.9076 0.7500
Hg 0.4663 0.5337 0.7500
Te 0.3578 0.6422 0.9466
Te 0.9076 0.0924 0.2500
Te 0.6422 0.3578 0.0534
Na 0.7700 0.2300 0.7500

***

No. 3
! Mg2FeCu5, optimized geometry, DFT PBE-GGA; values from VASP
! Raw total energy: -29.54 eV per cell
&SYSTEM
  ibrav = 0, nat = 8, ntyp = 3
/
ATOMIC_SPECIES
Cu 63.55 Cu.upf
Fe 55.84 Fe.upf
Mg 24.30 Mg.upf
CELL_PARAMETERS angstrom
4.1655 0.0000 0.0000
0.0000 4.1655 0.0000
0.0000 0.0000 5.9174
ATOMIC_POSITIONS crystal
Cu 0.0000 0.5000 0.7560
Cu 0.0000 0.0000 0.5000
Cu 0.5000 0.0000 0.7560
Fe 0.5000 0.5000 0.0000
Mg 0.5000 0.5000 0.5000
Cu 0.0000 0.5000 0.2440
Cu 0.5000 0.0000 0.2440
Mg 0.0000 0.0000 0.0000

***

No. 4
! Sm5Ga2Pb, optimized geometry, DFT PBE-GGA; values from VASP
! Raw total energy: -74.68 eV per cell
&SYSTEM
  ibrav = 0, nat = 16, ntyp = 3
/
ATOMIC_SPECIES
Sm 150.36 Sm.upf
Pb 207.20 Pb.upf
Ga 69.72 Ga.upf
CELL_PARAMETERS angstrom
1.4848 6.0137 6.6560
-7.6617 4.8957 -0.0460
0.7697 -9.0481 0.4589
ATOMIC_POSITIONS crystal
Sm 0.0000 0.0000 0.0000
Sm 0.1924 0.6924 0.1713
Pb 0.7500 0.7500 0.0000
Sm 0.8076 0.3076 0.8287
Pb 0.2500 0.2500 0.0000
Sm 0.3076 0.4789 0.5000
Ga 0.6281 0.8719 0.5000
Ga 0.1281 0.6281 0.7562
Sm 0.4789 0.9789 0.1713
Ga 0.8719 0.3719 0.2438
Ga 0.3719 0.1281 0.5000
Sm 0.5000 0.5000 0.0000
Sm 0.6924 0.5211 0.5000
Sm 0.0211 0.1924 0.5000
Sm 0.9789 0.8076 0.5000
Sm 0.5211 0.0211 0.8287